Record 1
Crystalline Re2PIr at its relaxed geometry. Source: Alexandria, functional GGA-PBE.

a = 5.326 Å, b = 5.326 Å, c = 3.922 Å
α = 90.00°, β = 90.00°, γ = 149.12°
Fractional positions:
Re1 0.321 0.679 0.500
P1 0.548 0.452 0.500
Re2 0.944 0.056 0.000
Ir1 0.679 0.321 0.000

## Properties
Symmetry = No. 38
E_form = -0.071 eV/atom
Density of states at the Fermi level = 0.567 states/eV/atom
V = 14.27 Å³/atom



Record 2
Crystalline ReP2Ir at its relaxed geometry. Source: Alexandria, functional GGA-PBE.

a = 2.938 Å, b = 3.710 Å, c = 5.070 Å
α = 90.00°, β = 90.00°, γ = 90.00°
Fractional positions:
Re1 0.000 0.000 0.444
P1 0.500 0.500 0.295
Ir1 0.500 0.500 0.813
P2 0.000 0.000 0.948

## Properties
Symmetry = No. 25
E_form = -0.106 eV/atom
Density of states at the Fermi level = 0.585 states/eV/atom
Relative energy among the computed polymorphs = 0.196 eV/atom
V = 13.81 Å³/atom



Record 3
Crystalline Re2PIr at its relaxed geometry. Source: Alexandria, functional GGA-PBE.

a = 2.863 Å, b = 4.465 Å, c = 4.569 Å
α = 90.00°, β = 90.00°, γ = 90.00°
Fractional positions:
P1 0.000 0.500 0.500
Ir1 0.500 0.000 0.500
Re1 0.000 0.000 0.000
Re2 0.500 0.500 0.000

## Properties
Symmetry = No. 47
E_form = 0.398 eV/atom
Density of states at the Fermi level = 1.112 states/eV/atom
V = 14.60 Å³/atom



Record 4
Crystalline ReP2Ir at its relaxed geometry. Source: Alexandria, functional GGA-PBE.

a = 4.091 Å, b = 4.091 Å, c = 5.027 Å
α = 78.97°, β = 78.97°, γ = 41.72°
Fractional positions:
Ir1 0.250 0.250 0.250
P1 0.006 0.006 0.985
P2 0.494 0.494 0.515
Re1 0.750 0.750 0.750

## Properties
Symmetry = No. 12
E_form = -0.047 eV/atom
Density of states at the Fermi level = 0.651 states/eV/atom
Relative energy among the computed polymorphs = 0.255 eV/atom
V = 13.70 Å³/atom



Record 5
Crystalline Re2PIr at its relaxed geometry. Source: Alexandria, functional GGA-PBE.

a = 5.022 Å, b = 5.022 Å, c = 4.281 Å
α = 89.56°, β = 89.56°, γ = 33.62°
Fractional positions:
Re1 0.785 0.785 0.261
Re2 0.215 0.215 0.739
P1 0.000 0.000 0.000
Ir1 0.500 0.500 0.500

## Properties
Symmetry = No. 12
E_form = 0.105 eV/atom
Density of states at the Fermi level = 0.668 states/eV/atom
V = 14.94 Å³/atom



Record 6
Crystalline Re2PIr at its relaxed geometry. Source: Alexandria, functional GGA-PBE.

a = 8.414 Å, b = 8.414 Å, c = 8.414 Å
α = 19.21°, β = 19.21°, γ = 19.21°
Fractional positions:
P1 0.000 0.000 0.000
Re1 0.256 0.256 0.256
Re2 0.744 0.744 0.744
Ir1 0.500 0.500 0.500

## Properties
Symmetry = No. 166
E_form = -0.039 eV/atom
Density of states at the Fermi level = 0.386 states/eV/atom
V = 14.09 Å³/atom



Record 7
Crystalline Re2PIr at its relaxed geometry. Source: Alexandria, functional GGA-PBE.

a = 8.440 Å, b = 8.440 Å, c = 8.440 Å
α = 19.17°, β = 19.17°, γ = 19.17°
Fractional positions:
Re1 0.994 0.994 0.994
Re2 0.750 0.750 0.750
P1 0.250 0.250 0.250
Ir1 0.506 0.506 0.506

## Properties
Symmetry = No. 160
E_form = -0.030 eV/atom
Density of states at the Fermi level = 0.737 states/eV/atom
V = 14.17 Å³/atom



Record 8
Crystalline RePIr4 at its relaxed geometry. Source: Alexandria, functional GGA-PBE.

a = 5.137 Å, b = 5.137 Å, c = 5.137 Å
α = 60.00°, β = 60.00°, γ = 60.00°
Fractional positions:
Re1 0.000 0.000 0.000
Ir1 0.375 0.876 0.375
Ir2 0.876 0.375 0.375
Ir3 0.375 0.375 0.876
Ir4 0.375 0.375 0.375
P1 0.750 0.750 0.750

## Properties
Symmetry = No. 216
E_form = 0.906 eV/atom
Density of states at the Fermi level = 1.662 states/eV/atom
V = 15.97 Å³/atom